First-principles (PBE-GGA) data for Tm5Bi2Rh after structural relaxation, as listed in Alexandria.

a b c (Å): 5.463 8.233 14.647
angles (deg): 90.00 90.00 109.38
Atoms (fractional coordinates):
Rh1 0.172 0.345 0.250
Rh2 0.828 0.655 0.750
Bi1 0.142 0.283 0.565
Bi2 0.858 0.717 0.065
Bi3 0.858 0.717 0.435
Bi4 0.142 0.283 0.935
Tm1 0.724 0.447 0.606
Tm2 0.948 0.897 0.626
Tm3 0.276 0.553 0.394
Tm4 0.948 0.897 0.874
Tm5 0.052 0.103 0.126
Tm6 0.697 0.393 0.250
Tm7 0.276 0.553 0.106
Tm8 0.303 0.607 0.750
Tm9 0.724 0.447 0.894
Tm10 0.052 0.103 0.374

Values from the calculation:
Its energy relative to the elements is -278 meV per atom. The calculation puts the energy above the most stable polymorph in this dataset at 404 meV per atom. The symmetry is Cmcm (63). The total energy comes out at -79.38 eV per cell.